[1]
Density functional theory data (PBE) for a relaxed structure of RbCdPdF6.

```
RbCdPdF6
1.0
-3.695 4.042 5.172
3.695 -4.042 5.172
3.695 4.042 -5.172
Rb Cd Pd F
2 2 2 12
direct
0.398 0.148 0.250 Rb
0.602 0.852 0.750 Rb
0.000 0.000 0.500 Cd
0.000 0.500 0.000 Cd
0.000 0.500 0.500 Pd
0.500 0.500 0.000 Pd
0.111 0.861 0.250 F
0.153 0.444 0.327 F
0.153 0.825 0.708 F
0.186 0.436 0.750 F
0.383 0.175 0.827 F
0.383 0.556 0.208 F
0.617 0.444 0.792 F
0.617 0.825 0.173 F
0.814 0.564 0.250 F
0.847 0.175 0.292 F
0.847 0.556 0.673 F
0.889 0.139 0.750 F
```

Uncorrected energy   -3.993 eV/atom
Energy relative to the elements, uncorrected   -1.96 eV/atom

[2]
Density functional theory data (PBE) for a relaxed structure of LaCr2Mo.

```
LaCr2Mo
1.0
2.959 0.000 0.000
0.000 4.080 0.000
-1.317 0.000 6.248
La Cr Mo
1 2 1
direct
0.000 0.000 0.000 La
0.211 0.500 0.653 Cr
0.789 0.500 0.347 Cr
0.500 0.000 0.500 Mo
```

Uncorrected energy   -8.224 eV/atom
N(E_F)   5.79 states/eV/cell

[3]
Density functional theory data (PBE) for a relaxed structure of Rb2BiSb.

```
Rb2BiSb
1.0
-2.283 5.664 3.593
2.283 -5.664 3.593
2.283 5.664 -3.593
Rb Bi Sb
2 1 1
direct
0.208 0.000 0.208 Rb
0.792 0.000 0.792 Rb
0.267 0.767 0.500 Bi
0.541 0.541 0.000 Sb
```

Uncorrected energy   -2.796 eV/atom
Energy relative to the elements, uncorrected   -0.31 eV/atom
N(E_F)   1.52 states/eV/cell

[4]
Density functional theory data (PBE) for a relaxed structure of CdAgAs2.

```
CdAgAs2
1.0
1.653 0.955 8.672
-1.653 0.955 8.672
0.000 -1.909 8.672
Cd Ag As
1 1 2
direct
0.000 0.000 0.000 Cd
0.500 0.500 0.500 Ag
0.247 0.247 0.247 As
0.753 0.753 0.753 As
```

Uncorrected energy   -3.040 eV/atom
N(E_F)   1.06 states/eV/cell

[5]
Density functional theory data (PBE) for a relaxed structure of TlCu4SeS2.

```
TlCu4SeS2
1.0
3.893 0.000 0.000
0.000 3.893 0.000
0.000 0.000 9.827
Tl Cu Se S
1 4 1 2
direct
0.000 0.000 0.000 Tl
0.000 0.500 0.326 Cu
0.000 0.500 0.674 Cu
0.500 0.000 0.326 Cu
0.500 0.000 0.674 Cu
0.000 0.000 0.500 Se
0.500 0.500 0.202 S
0.500 0.500 0.798 S
```

Uncorrected energy   -4.022 eV/atom
Energy relative to the elements, uncorrected   -0.21 eV/atom
N(E_F)   4.09 states/eV/cell

[6]
Density functional theory data (PBE) for a relaxed structure of MgVN2.

```
MgVN2
1.0
1.464 0.845 5.030
-1.464 0.845 5.030
0.000 -1.691 5.030
Mg V N
1 1 2
direct
0.000 0.000 0.000 Mg
0.500 0.500 0.500 V
0.244 0.244 0.244 N
0.756 0.756 0.756 N
```

Uncorrected energy   -7.794 eV/atom
Energy relative to the elements, uncorrected   -0.95 eV/atom
N(E_F)   1.62 states/eV/cell

[7]
Density functional theory data (PBE) for a relaxed structure of Cd2SiOs.

```
Cd2SiOs
1.0
-5.210 5.210 2.268
5.210 -5.210 2.268
5.210 5.210 -2.268
Cd Si Os
4 2 2
direct
0.000 0.000 0.000 Cd
0.000 0.000 0.500 Cd
0.000 0.500 0.000 Cd
0.500 0.000 0.500 Cd
0.375 0.625 0.750 Si
0.625 0.375 0.250 Si
0.125 0.875 0.250 Os
0.875 0.125 0.750 Os
```

Uncorrected energy   -4.100 eV/atom
Energy relative to the elements, uncorrected   0.52 eV/atom
N(E_F)   5.21 states/eV/cell

[8]
Density functional theory data (PBE) for a relaxed structure of K3RbAu.

```
K3RbAu
1.0
7.976 0.000 0.000
0.000 14.251 0.000
0.000 0.000 9.618
K Rb Au
12 4 4
direct
0.036 0.123 0.134 K
0.036 0.377 0.134 K
0.202 0.250 0.724 K
0.298 0.750 0.224 K
0.464 0.623 0.634 K
0.464 0.877 0.634 K
0.536 0.123 0.366 K
0.536 0.377 0.366 K
0.702 0.250 0.776 K
0.798 0.750 0.276 K
0.964 0.623 0.866 K
0.964 0.877 0.866 K
0.000 0.000 0.500 Rb
0.000 0.500 0.500 Rb
0.500 0.000 0.000 Rb
0.500 0.500 0.000 Rb
0.102 0.750 0.559 Au
0.398 0.250 0.059 Au
0.602 0.750 0.941 Au
0.898 0.250 0.441 Au
```

Uncorrected energy   -1.593 eV/atom
N(E_F)   12.65 states/eV/cell